Record 1
Density functional theory data (PBE) for a geometry-optimized TmBePd2 structure. Values from VASP.

Values from the calculation:
**Formation enthalpy at 0 K**: -656 meV/atom
**Spin magnetization**: 0.0 Bohr magnetons per cell
**Volume**: 17.2 Å³/atom
**D(E_F)**: 1.8 states/eV/f.u.
**Polymorph energy (0 for the lowest one)**: 86 meV per atom

The structure in Quantum ESPRESSO input format:
```
&SYSTEM
  ibrav = 0, nat = 4, ntyp = 3
/
ATOMIC_SPECIES
Tm 168.93 Tm.upf
Pd 106.42 Pd.upf
Be 9.01 Be.upf
ATOMIC_POSITIONS angstrom
Tm 0.000 0.000 0.000
Pd 2.057 1.187 1.682
Be 4.114 2.375 2.345
Pd 6.170 3.562 3.008
CELL_PARAMETERS angstrom
4.114 0.000 0.000
2.057 3.562 0.000
2.057 1.187 4.691
```


Record 2
Density functional theory data (PBE) for a geometry-optimized TmBe2Pd2 structure. Values from VASP.

Values from the calculation:
**Formation enthalpy at 0 K**: -596 meV/atom
**Spin magnetization**: 0.0 Bohr magnetons per cell
**Volume**: 14.9 Å³/atom
**D(E_F)**: 2.1 states/eV/f.u.

The structure in Quantum ESPRESSO input format:
```
&SYSTEM
  ibrav = 0, nat = 5, ntyp = 3
/
ATOMIC_SPECIES
Pd 106.42 Pd.upf
Tm 168.93 Tm.upf
Be 9.01 Be.upf
ATOMIC_POSITIONS angstrom
Pd 0.770 0.906 -0.738
Tm 1.879 0.050 2.022
Be 0.132 2.316 2.982
Pd 2.310 2.719 -2.214
Be 3.033 1.408 -0.414
CELL_PARAMETERS angstrom
3.673 0.000 -1.476
-0.593 3.625 -1.476
0.085 0.100 5.520
```


Record 3
Density functional theory data (PBE) for a geometry-optimized TmBe4Pd8 structure. Values from VASP.

Values from the calculation:
**Formation enthalpy at 0 K**: -550 meV/atom
**Spin magnetization**: 0.0 Bohr magnetons per cell
**Volume**: 13.9 Å³/atom
**D(E_F)**: 5.4 states/eV/f.u.

The structure in Quantum ESPRESSO input format:
```
&SYSTEM
  ibrav = 0, nat = 13, ntyp = 3
/
ATOMIC_SPECIES
Be 9.01 Be.upf
Pd 106.42 Pd.upf
Tm 168.93 Tm.upf
ATOMIC_POSITIONS angstrom
Be 2.447 0.000 4.190
Be 0.076 0.000 3.237
Be 3.556 2.975 1.430
Pd 4.244 4.616 3.144
Pd 1.873 1.334 2.191
Pd 3.020 1.334 6.189
Pd 4.005 1.975 3.739
Pd 5.391 4.616 7.142
Pd 1.634 3.975 2.786
Tm 0.000 0.000 0.000
Be 1.185 2.975 0.477
Pd 3.259 3.975 5.594
Pd 0.889 1.975 4.641
CELL_PARAMETERS angstrom
4.742 0.000 1.906
2.371 5.950 0.953
0.152 0.000 6.474
```


Record 4
Density functional theory data (PBE) for a geometry-optimized Tm2BePd6 structure. Values from VASP.

Values from the calculation:
**Formation enthalpy at 0 K**: -919 meV/atom
**Spin magnetization**: 0.0 Bohr magnetons per cell
**Volume**: 16.4 Å³/atom
**D(E_F)**: 2.1 states/eV/f.u.
**Polymorph energy (0 for the lowest one)**: 0 meV per atom

The structure in Quantum ESPRESSO input format:
```
&SYSTEM
  ibrav = 0, nat = 9, ntyp = 3
/
ATOMIC_SPECIES
Pd 106.42 Pd.upf
Tm 168.93 Tm.upf
Be 9.01 Be.upf
ATOMIC_POSITIONS angstrom
Pd 4.322 1.163 7.480
Tm 5.140 3.638 8.898
Pd 2.531 3.688 4.383
Pd 4.319 1.160 4.383
Pd 2.534 3.690 7.480
Tm 1.713 1.212 2.965
Pd 1.639 1.160 5.930
Pd 5.214 3.690 5.934
Be 3.426 2.425 5.932
CELL_PARAMETERS angstrom
5.137 0.004 2.967
1.712 4.843 2.967
0.004 0.003 5.930
```


Record 5
Density functional theory data (PBE) for a geometry-optimized TmBe17Pd structure. Values from VASP.

Values from the calculation:
**Formation enthalpy at 0 K**: -116 meV/atom
**Spin magnetization**: 0.0 Bohr magnetons per cell
**Volume**: 9.3 Å³/atom
**D(E_F)**: 3.8 states/eV/f.u.

The structure in Quantum ESPRESSO input format:
```
&SYSTEM
  ibrav = 0, nat = 19, ntyp = 3
/
ATOMIC_SPECIES
Be 9.01 Be.upf
Pd 106.42 Pd.upf
Tm 168.93 Tm.upf
ATOMIC_POSITIONS angstrom
Be 3.452 5.530 6.593
Be 1.304 3.646 4.233
Be 5.071 1.909 2.734
Be 4.051 3.646 1.791
Be 0.210 1.617 4.189
Be 2.431 4.843 2.734
Be 2.121 1.909 5.357
Be 3.969 0.039 2.109
Be 5.620 5.059 6.322
Be 5.861 2.853 6.593
Pd 2.049 1.845 2.305
Be 4.135 1.617 0.699
Be 6.143 5.530 4.201
Tm 4.077 3.670 4.587
Be 0.455 3.943 2.109
Be 3.763 0.914 4.233
Be 2.041 3.943 0.699
Be 0.621 0.559 0.698
Be 1.630 0.039 4.189
CELL_PARAMETERS angstrom
5.617 0.002 0.665
0.591 5.586 0.665
0.003 0.002 5.656
```


Record 6
Density functional theory data (PBE) for a geometry-optimized Tm2Be2Pd5 structure. Values from VASP.

Values from the calculation:
**Formation enthalpy at 0 K**: -768 meV/atom
**Spin magnetization**: 0.0 Bohr magnetons per cell
**Volume**: 16.0 Å³/atom
**D(E_F)**: 3.8 states/eV/f.u.

The structure in Quantum ESPRESSO input format:
```
&SYSTEM
  ibrav = 0, nat = 9, ntyp = 3
/
ATOMIC_SPECIES
Pd 106.42 Pd.upf
Tm 168.93 Tm.upf
Be 9.01 Be.upf
ATOMIC_POSITIONS angstrom
Pd -0.549 -2.951 0.464
Tm 0.000 0.000 0.000
Pd 2.803 -5.922 -2.108
Be -1.576 -2.210 -1.455
Pd 1.597 -6.685 0.359
Pd 0.657 -2.188 -2.002
Tm 2.205 -3.837 -0.109
Pd 0.049 -5.036 -1.535
Be 1.673 -7.863 -1.615
CELL_PARAMETERS angstrom
-3.363 -1.962 1.041
-0.950 -0.436 -3.893
4.411 -7.674 -0.218
```


Record 7
Density functional theory data (PBE) for a geometry-optimized TmBePd6 structure. Values from VASP.

Values from the calculation:
**Formation enthalpy at 0 K**: -361 meV/atom
**Spin magnetization**: 0.0 Bohr magnetons per cell
**Volume**: 16.3 Å³/atom
**D(E_F)**: 3.3 states/eV/f.u.

The structure in Quantum ESPRESSO input format:
```
&SYSTEM
  ibrav = 0, nat = 8, ntyp = 3
/
ATOMIC_SPECIES
Pd 106.42 Pd.upf
Tm 168.93 Tm.upf
Be 9.01 Be.upf
ATOMIC_POSITIONS angstrom
Pd 4.860 4.508 4.497
Pd 0.944 4.206 1.589
Pd 2.128 5.305 3.988
Tm 3.197 2.965 2.789
Be 0.000 0.000 0.000
Pd 1.534 1.422 1.080
Pd 4.265 0.625 1.589
Pd 5.449 1.724 3.988
CELL_PARAMETERS angstrom
5.323 -1.067 0.338
-0.664 5.389 0.338
1.734 1.608 4.901
```


Record 8
Density functional theory data (PBE) for a geometry-optimized TmBePd3 structure. Values from VASP.

Values from the calculation:
**Formation enthalpy at 0 K**: -701 meV/atom
**Spin magnetization**: 0.0 Bohr magnetons per cell
**Volume**: 16.3 Å³/atom
**D(E_F)**: 2.7 states/eV/f.u.
**Polymorph energy (0 for the lowest one)**: 62 meV per atom

The structure in Quantum ESPRESSO input format:
```
&SYSTEM
  ibrav = 0, nat = 5, ntyp = 3
/
ATOMIC_SPECIES
Be 9.01 Be.upf
Tm 168.93 Tm.upf
Pd 106.42 Pd.upf
ATOMIC_POSITIONS angstrom
Be 0.000 0.000 0.000
Tm 2.169 2.169 2.169
Pd 0.000 2.169 0.000
Pd 2.169 0.000 0.000
Pd 0.000 0.000 2.169
CELL_PARAMETERS angstrom
4.338 0.000 0.000
0.000 4.338 0.000
0.000 0.000 4.338
```